The following is a PBE calculation of a geometry-optimized Dy4ErAu5 structure, from the Alexandria database.

Structure (POSCAR):
```
Dy4ErAu5
1.0
3.564 0.000 0.000
0.000 3.564 0.000
0.000 0.000 18.237
Er Au Dy
1 5 4
Direct
0.000 0.000 0.000
0.500 0.500 0.701
0.500 0.500 0.098
0.500 0.500 0.299
0.500 0.500 0.902
0.500 0.500 0.500
0.000 0.000 0.801
0.000 0.000 0.600
0.000 0.000 0.199
0.000 0.000 0.400
```

Calculated values
* magnetic moment: 0.0 μB/f.u.
* density of states at the Fermi level: 4.02 states/eV per cell
* ΔH_f (0 K): -0.87 eV per atom